Density functional theory data (PBE) for a relaxed TePt2Br2 crystal.

- SG = No. 139
- DOS at the Fermi energy (states/eV per cell) = 6.42
- formation energy (no corrections) (eV per atom) = 0.56

Cell lengths 3.747, 3.747, 9.043 Å; angles 78.04, 78.04, 90.00 degrees
Fractional positions:
Te (0.000, 0.000, 0.000)
Br (0.372, 0.372, 0.256)
Br (0.628, 0.628, 0.744)
Pt (0.750, 0.250, 0.500)
Pt (0.250, 0.750, 0.500)

***

Density functional theory data (PBE) for a relaxed Te2PtBr crystal.

- SG = No. 35
- DOS at the Fermi energy (states/eV per cell) = 2.53
- formation energy (no corrections) (eV per atom) = 0.14

Cell lengths 3.508, 3.508, 9.993 Å; angles 90.00, 90.00, 114.10 degrees
Fractional positions:
Te (0.000, 0.000, 0.932)
Te (0.500, 0.500, 0.225)
Br (0.000, 0.000, 0.583)
Pt (0.500, 0.500, 0.760)

***

Density functional theory data (PBE) for a relaxed TePtBr2 crystal.

- SG = No. 6
- DOS at the Fermi energy (states/eV per cell) = 2.15
- formation energy (no corrections) (eV per atom) = -0.16

Cell lengths 3.828, 6.161, 6.816 Å; angles 49.81, 90.00, 90.00 degrees
Fractional positions:
Te (0.500, 0.624, 0.657)
Br (0.000, 0.022, 0.014)
Br (0.500, 0.339, 0.349)
Pt (0.000, 0.516, 0.480)

***

Density functional theory data (PBE) for a relaxed Te2PtBr crystal.

- SG = No. 15
- DOS at the Fermi energy (states/eV per cell) = 3.96
- formation energy (no corrections) (eV per atom) = -0.07

Cell lengths 8.504, 6.689, 6.689 Å; angles 74.08, 117.79, 62.21 degrees
Fractional positions:
Te (0.079, 0.282, 0.949)
Te (0.421, 0.449, 0.782)
Te (0.921, 0.718, 0.051)
Te (0.579, 0.551, 0.218)
Br (0.750, 0.893, 0.393)
Br (0.250, 0.107, 0.607)
Pt (0.750, 0.252, 0.752)
Pt (0.250, 0.748, 0.248)

***

Please write out number 2 again, unchanged.
Density functional theory data (PBE) for a relaxed Te2PtBr crystal.

- SG = No. 35
- DOS at the Fermi energy (states/eV per cell) = 2.53
- formation energy (no corrections) (eV per atom) = 0.14

Cell lengths 3.508, 3.508, 9.993 Å; angles 90.00, 90.00, 114.10 degrees
Fractional positions:
Te (0.000, 0.000, 0.932)
Te (0.500, 0.500, 0.225)
Br (0.000, 0.000, 0.583)
Pt (0.500, 0.500, 0.760)

***

What is the formation energy (no corrections) in the fourth record? -0.07 eV per atom

***

Which formula does entry 2 have? Te2PtBr